No. 1
# Tl2CrCo

A geometry-optimized Tl2CrCo structure (PBE-GGA, the Alexandria database).

Cell and atoms, written as POSCAR:
```
Tl2CrCo
1.0
3.271 0.000 0.000
0.000 3.271 0.000
0.000 0.000 6.934
Tl Cr Co
2 1 1
direct
0.000 0.000 0.230
0.000 0.000 0.770
0.500 0.500 0.500
0.500 0.500 0.000
```

Results
energy relative to the elements = 0.641 eV/atom

***

No. 2
# Li5SnPd8

A geometry-optimized Li5SnPd8 structure (PBE-GGA, the Alexandria database).

Cell and atoms, written as POSCAR:
```
Li5SnPd8
1.0
-3.739 3.739 3.773
3.739 -3.739 3.773
3.739 3.739 -3.773
Li Sn Pd
5 1 8
direct
0.000 0.000 0.000
0.285 0.640 0.095
0.360 0.455 0.645
0.545 0.189 0.905
0.811 0.715 0.355
0.750 0.250 0.500
0.019 0.422 0.259
0.096 0.175 0.750
0.163 0.761 0.741
0.239 0.981 0.402
0.425 0.346 0.250
0.578 0.837 0.598
0.654 0.904 0.079
0.825 0.575 0.921
```

Results
energy relative to the elements = -0.330 eV/atom

***

No. 3
# RbIrSeN2

A geometry-optimized RbIrSeN2 structure (PBE-GGA, the Alexandria database).

Cell and atoms, written as POSCAR:
```
RbIrSeN2
1.0
4.014 0.000 0.000
0.000 4.014 0.000
0.000 0.000 5.446
Rb Ir Se N
1 1 1 2
direct
0.000 0.000 0.000
0.500 0.500 0.500
0.500 0.500 0.000
0.000 0.500 0.500
0.500 0.000 0.500
```

Results
uncorrected formation energy = 0.823 eV per atom

***

No. 4
# LaHPd2Pt

A geometry-optimized LaHPd2Pt structure (PBE-GGA, the Alexandria database).

Cell and atoms, written as POSCAR:
```
LaHPd2Pt
1.0
4.120 0.000 0.000
0.000 4.120 0.000
0.000 0.000 4.689
La H Pd Pt
1 1 2 1
direct
0.000 0.000 0.000
0.000 0.000 0.500
0.000 0.500 0.500
0.500 0.000 0.500
0.500 0.500 0.000
```

Results
total energy = -5.56 eV/atom

***

No. 5
# MgZnCo4

A geometry-optimized MgZnCo4 structure (PBE-GGA, the Alexandria database).

Cell and atoms, written as POSCAR:
```
MgZnCo4
1.0
0.000 3.382 3.382
3.382 0.000 3.382
3.382 3.382 0.000
Mg Zn Co
1 1 4
direct
0.000 0.000 0.000
0.750 0.750 0.750
0.375 0.375 0.375
0.375 0.375 0.874
0.375 0.874 0.375
0.874 0.375 0.375
```

Results
energy relative to the elements = 0.038 eV/atom

***

No. 6
# BaGe3Pt

A geometry-optimized BaGe3Pt structure (PBE-GGA, the Alexandria database).

Cell and atoms, written as POSCAR:
```
BaGe3Pt
1.0
5.572 0.000 0.000
0.000 5.572 0.000
0.000 0.000 5.572
Ba Ge Pt
1 3 1
direct
0.000 0.000 0.000
0.000 0.000 0.500
0.000 0.500 0.000
0.500 0.000 0.000
0.500 0.500 0.500
```

Results
energy relative to the elements = 1.806 eV/atom